# 1
The following is a PBE-GGA calculation of crystalline Zn2WAu at its relaxed geometry, from Alexandria.

Summary:
The density is 13.59 g cm⁻³. The total DFT energy (no corrections) comes out at -18.5 eV for the cell shown. As for the space group: Cmmm (65). The relative energy among the computed polymorphs comes out at 0.000 eV/atom. The formation energy is 0.31 eV/f.u.

Structure (CIF):
```
data_Zn2WAu
_space_group_name_H-M_alt 'P 1'
_space_group_IT_number 1
_space_group_name_Hall 'P 1'
_cell_length_a 2.750
_cell_length_b 2.750
_cell_length_c 8.310
_cell_angle_alpha 90.00
_cell_angle_beta 90.00
_cell_angle_gamma 95.97
loop_
_atom_site_label
_atom_site_fract_x
_atom_site_fract_y
_atom_site_fract_z
Zn1 0.000 0.000 0.997
Zn2 0.000 0.000 0.503
Au1 0.500 0.500 0.250
W1 0.500 0.500 0.750
```

# 2
The following is a PBE-GGA calculation of crystalline ZnW2Au at its relaxed geometry, from Alexandria.

Summary:
The density is 16.36 g cm⁻³. The total DFT energy (no corrections) comes out at -28.8 eV for the cell shown. As for the space group: I-4m2 (119). The formation energy is 1.61 eV/f.u.

Structure (CIF):
```
data_ZnW2Au
_space_group_name_H-M_alt 'P 1'
_space_group_IT_number 1
_space_group_name_Hall 'P 1'
_cell_length_a 4.882
_cell_length_b 4.882
_cell_length_c 4.882
_cell_angle_alpha 131.50
_cell_angle_beta 131.50
_cell_angle_gamma 71.03
loop_
_atom_site_label
_atom_site_fract_x
_atom_site_fract_y
_atom_site_fract_z
W1 0.250 0.750 0.500
W2 0.000 0.000 0.000
Au1 0.750 0.250 0.500
Zn1 0.500 0.500 0.000
```

# 3
The following is a PBE-GGA calculation of crystalline ZnW2Au at its relaxed geometry, from Alexandria.

Summary:
The density is 16.18 g cm⁻³. The total DFT energy (no corrections) comes out at -29.1 eV for the cell shown. As for the space group: Cm (8). The formation energy is 1.38 eV/f.u.

Structure (CIF):
```
data_ZnW2Au
_space_group_name_H-M_alt 'P 1'
_space_group_IT_number 1
_space_group_name_Hall 'P 1'
_cell_length_a 4.850
_cell_length_b 4.850
_cell_length_c 5.121
_cell_angle_alpha 84.64
_cell_angle_beta 84.64
_cell_angle_gamma 32.63
loop_
_atom_site_label
_atom_site_fract_x
_atom_site_fract_y
_atom_site_fract_z
W1 0.997 0.997 0.981
W2 0.751 0.751 0.757
Zn1 0.500 0.500 0.495
Au1 0.252 0.252 0.267
```